{"formula": "Ta2OsRhPb", "functional": "PBE", "state": "relaxed", "lattice_angstrom": [[-3.149, -3.892, 0.349], [-0.011, -0.412, -4.698], [3.907, -3.138, 0.266]], "species": ["Rh", "Ta", "Os", "Pb", "Ta"], "frac_coords": [[0.000, 0.500, 0.000], [0.000, 0.000, 0.500], [0.500, 0.500, 0.500], [0.000, 0.000, 0.000], [0.500, 0.000, 0.000]], "m_tot_mub_per_cell": 0.026, "ef_kj_per_mol_atoms": 252.5, "n_ef_per_ev_atom": 0.7440}

***

{"formula": "AcLaTlO2", "functional": "PBE", "state": "relaxed", "lattice_angstrom": [[4.191, 0.000, 0.000], [0.000, 4.191, 0.000], [-2.096, -2.096, 7.216]], "species": ["O", "La", "Ac", "O", "Tl"], "frac_coords": [[0.754, 0.254, 0.507], [0.833, 0.833, 0.666], [0.163, 0.163, 0.326], [0.254, 0.754, 0.507], [0.497, 0.497, 0.994]], "e_form_raw_ev_per_atom": -2.40, "m_tot_mub_per_cell": 1.144, "n_ef_per_ev_atom": 0.2747}